Li2YVF8 (PBE with a Hubbard U, optimized geometry); theoretical density = 3.35 g cm⁻³; SG = No. 10; calculated total energy = -5.997 eV per atom
1.0
4.770 0.000 0.000
0.000 6.652 0.000
-0.083 0.000 4.774
Li Y V F
2 1 1 8
Cartesian
0.000 1.601 0.000 Li
0.000 5.051 0.000 Li
2.343 3.326 2.387 Y
2.343 0.000 2.387 V
0.811 3.326 3.878 F
0.959 0.000 3.735 F
1.421 1.524 1.435 F
1.421 5.128 1.435 F
3.266 1.524 3.339 F
3.266 5.128 3.339 F
3.727 0.000 1.039 F
3.876 3.326 0.896 F